## TmSe2 (GGA-PBE)

Data for a geometry-optimized TmSe2 structure.

a b c (Å): 8.2215 8.2215 8.2215
angles (deg): 90.00 90.00 90.00
Closest atoms and distances in Å follow each position.
Space group Fd-3m (No. 227, origin choice 2)
Asymmetric unit:
1 Tm 0.1250 0.1250 0.1250  12 Se 3.41, 4 Tm 3.56
2 Se 0.0000 0.0000 0.5000  6 Se 2.91

Summary:
electronic total energy = -3.8935 eV per atom

=====

## TmSe2 (GGA-PBE)

Data for a geometry-optimized TmSe2 structure.

a b c (Å): 12.2165 12.2165 12.2165
angles (deg): 90.00 90.00 90.00
Closest atoms and distances in Å follow each position.
Space group Fd-3m (No. 227, origin choice 2)
Asymmetric unit:
1 Tm 0.1250 0.1250 0.1250  4 Se 2.64
2 Se 0.0000 0.0000 0.0000  2 Tm 2.64

Summary:
electronic total energy = -4.6452 eV per atom

=====

## Tm5Se6 (GGA-PBE)

Data for a geometry-optimized Tm5Se6 structure.

a b c (Å): 6.9247 11.9455 6.9039
angles (deg): 90.00 109.48 90.00
Closest atoms and distances in Å follow each position.
Space group C2/m (No. 12)
Asymmetric unit:
1 Tm 0.0000 0.0000 0.0000  6 Se 2.82-2.88
2 Tm 0.0000 0.1649 0.5000  6 Se 2.80-2.83
3 Tm 0.0000 0.3342 0.0000  6 Se 2.81-2.86
4 Se 0.2454 0.5000 0.2554  5 Tm 2.80-2.88
5 Se 0.2463 0.3357 0.7470  5 Tm 2.82-2.86

Summary:
electronic total energy = -5.7423 eV per atom

=====

## Tm2Se (GGA-PBE)

Data for a geometry-optimized Tm2Se structure.

a b c (Å): 8.7400 8.7400 8.7400
angles (deg): 90.00 90.00 90.00
Closest atoms and distances in Å follow each position.
Space group Fd-3m (No. 227, origin choice 2)
Asymmetric unit:
1 Tm 0.0000 0.0000 0.0000  6 Tm 3.09
2 Se 0.1250 0.1250 0.6250  12 Tm 3.62, 4 Se 3.78

Summary:
electronic total energy = -4.1318 eV per atom

=====

Which formula does entry 4 have?
Tm2Se

=====

The lowest electronic total energy belongs to which entry?
Tm5Se6

=====

The lowest electronic total energy belongs to which entry?
Tm5Se6

=====

Copy entry 4 word for word.
## Tm2Se (GGA-PBE)

Data for a geometry-optimized Tm2Se structure.

a b c (Å): 8.7400 8.7400 8.7400
angles (deg): 90.00 90.00 90.00
Closest atoms and distances in Å follow each position.
Space group Fd-3m (No. 227, origin choice 2)
Asymmetric unit:
1 Tm 0.0000 0.0000 0.0000  6 Tm 3.09
2 Se 0.1250 0.1250 0.6250  12 Tm 3.62, 4 Se 3.78

Summary:
electronic total energy = -4.1318 eV per atom